The following is a PBE-GGA calculation of a relaxed Sm2Ho crystal, from Alexandria via LeMat-Bulk.

Cell lengths 6.3013, 6.3013, 6.0217 Å; angles 90.06, 90.06, 55.79 degrees
With the nearest neighbours (Å) after each atom.
Positions (direct):
Sm 0.0803 0.0803 0.2321  6 Sm 3.32-3.71, 3 Ho 3.51-3.66
Sm 0.2569 0.2569 0.7103  5 Ho 3.40-3.75, 5 Sm 3.48-3.77
Sm 0.7431 0.7431 0.2897  5 Ho 3.40-3.75, 5 Sm 3.48-3.77
Sm 0.9197 0.9197 0.7679  6 Sm 3.32-3.71, 3 Ho 3.51-3.66
Ho 0.4088 0.4088 0.2212  1 Ho 3.35, 8 Sm 3.40-3.75
Ho 0.5912 0.5912 0.7788  1 Ho 3.35, 8 Sm 3.40-3.75

Output
DOS at the Fermi energy: 5.61 states/eV/f.u.
space-group type: C2/m, No. 12
calculated formation energy: 0.12 eV per atom
V: 33.0 A^3/atom
energy relative to the lowest polymorph listed for this composition: 97 meV per atom